Entry from the Alexandria database: DyEr2Sn after structural relaxation (PBE-GGA).

a = 4.7798 Å, b = 4.7798 Å, c = 4.7733 Å
α = 90.00°, β = 90.00°, γ = 90.00°
Fractional coordinates of all 4 atoms:
1 Dy 0.0000 0.0000 0.0000
2 Er 0.0000 0.5000 0.5000
3 Er 0.5000 0.0000 0.5000
4 Sn 0.5000 0.5000 0.0000

calculated formation energy: -0.4061 eV/atom
energy above the lowest structure with this stoichiometry: 0.000 eV/atom
energy: -4.839 eV per atom